Model P:
Ce2CdBi3: relaxed, PBE.

```
data_Ce2CdBi3
_chemical_formula_sum 'Ce4 Cd2 Bi6'
_space_group_name_H-M_alt 'C m m m'
_space_group_IT_number 65
_space_group_name_Hall '-C 2 2'
_cell_length_a 4.463
_cell_length_b 16.502
_cell_length_c 4.786
_cell_angle_alpha 90.00
_cell_angle_beta 90.00
_cell_angle_gamma 90.00
loop_
_atom_site_label
_atom_site_fract_x
_atom_site_fract_y
_atom_site_fract_z
_atom_site_occupancy
Ce1 0.000 0.147 0.000 1
Cd1 0.000 0.000 0.500 1
Bi1 0.000 0.327 0.500 1
Bi2 0.000 0.500 0.000 1
```

Results
Spin magnetization ... 1.59 μB per formula unit
V ... 29.4 Å³ per atom



Model Q:
Ce2CdBi3: relaxed, PBE.

```
data_Ce2CdBi3
_chemical_formula_sum 'Ce4 Cd2 Bi6'
_space_group_name_H-M_alt 'I m m m'
_space_group_IT_number 71
_space_group_name_Hall '-I 2 2'
_cell_length_a 4.647
_cell_length_b 6.451
_cell_length_c 13.472
_cell_angle_alpha 90.00
_cell_angle_beta 90.00
_cell_angle_gamma 90.00
loop_
_atom_site_label
_atom_site_fract_x
_atom_site_fract_y
_atom_site_fract_z
_atom_site_occupancy
Ce1 0.000 0.000 0.166 1
Cd1 0.000 0.000 0.500 1
Bi1 0.000 0.500 0.166 1
Bi2 0.000 0.500 0.500 1
```

Results
Spin magnetization ... 1.02 μB per formula unit
V ... 33.7 Å³ per atom



Tell me which of them is the least stable. Sure, it is model Q.



Model P:
CeMgCdBi: relaxed, PBE.

```
data_CeMgCdBi
_chemical_formula_sum 'Ce1 Mg1 Cd1 Bi1'
_space_group_name_H-M_alt 'P m m m'
_space_group_IT_number 47
_cell_length_a 4.455
_cell_length_b 4.702
_cell_length_c 5.152
_cell_angle_alpha 90.00
_cell_angle_beta 90.00
_cell_angle_gamma 90.00
loop_
_space_group_symop_operation_xyz
'x,y,z'
'-x,-y,-z'
'-x,-y,z'
'x,y,-z'
'x,-y,-z'
'-x,y,z'
'-x,y,-z'
'x,-y,z'
loop_
_atom_site_label
_atom_site_fract_x
_atom_site_fract_y
_atom_site_fract_z
_atom_site_occupancy
Ce1 0.000 0.000 0.000 1
Mg1 0.000 0.500 0.500 1
Cd1 0.500 0.000 0.500 1
Bi1 0.500 0.500 0.000 1
```

Results
Spin magnetization ... 0.93 μB per formula unit
V ... 27.0 Å³ per atom



Model Q:
CeMgCdBi: relaxed, PBE.

```
data_CeMgCdBi
_chemical_formula_sum 'Ce4 Mg4 Cd4 Bi4'
_space_group_name_H-M_alt 'F -4 3 m'
_space_group_IT_number 216
_space_group_name_Hall 'F -4 2 3'
_cell_length_a 7.559
_cell_length_b 7.559
_cell_length_c 7.559
_cell_angle_alpha 90.00
_cell_angle_beta 90.00
_cell_angle_gamma 90.00
loop_
_atom_site_label
_atom_site_fract_x
_atom_site_fract_y
_atom_site_fract_z
_atom_site_occupancy
Ce1 0.000 0.000 0.000 1
Mg1 0.000 0.000 0.500 1
Cd1 0.250 0.250 0.750 1
Bi1 0.250 0.250 0.250 1
```

Results
Spin magnetization ... 1.00 μB per formula unit
V ... 27.0 Å³ per atom



Tell me which of them is the least stable. Sure, it is model Q.



Model P:
CeTlCdBi: relaxed, PBE.

```
data_CeTlCdBi
_chemical_formula_sum 'Ce4 Tl4 Cd4 Bi4'
_space_group_name_H-M_alt 'F -4 3 m'
_space_group_IT_number 216
_space_group_name_Hall 'F -4 2 3'
_cell_length_a 7.697
_cell_length_b 7.697
_cell_length_c 7.697
_cell_angle_alpha 90.00
_cell_angle_beta 90.00
_cell_angle_gamma 90.00
loop_
_atom_site_label
_atom_site_fract_x
_atom_site_fract_y
_atom_site_fract_z
_atom_site_occupancy
Ce1 0.000 0.000 0.000 1
Tl1 0.250 0.250 0.750 1
Cd1 0.000 0.000 0.500 1
Bi1 0.250 0.250 0.250 1
```

Results
Spin magnetization ... 1.24 μB per formula unit
V ... 28.5 Å³ per atom



Model Q:
CeTlCdBi: relaxed, PBE.

```
data_CeTlCdBi
_chemical_formula_sum 'Ce1 Tl1 Cd1 Bi1'
_space_group_name_H-M_alt 'P m m m'
_space_group_IT_number 47
_cell_length_a 4.561
_cell_length_b 4.763
_cell_length_c 5.133
_cell_angle_alpha 90.00
_cell_angle_beta 90.00
_cell_angle_gamma 90.00
loop_
_space_group_symop_operation_xyz
'x,y,z'
'-x,-y,-z'
'-x,-y,z'
'x,y,-z'
'x,-y,-z'
'-x,y,z'
'-x,y,-z'
'x,-y,z'
loop_
_atom_site_label
_atom_site_fract_x
_atom_site_fract_y
_atom_site_fract_z
_atom_site_occupancy
Ce1 0.000 0.000 0.000 1
Tl1 0.500 0.000 0.500 1
Cd1 0.000 0.500 0.500 1
Bi1 0.500 0.500 0.000 1
```

Results
Spin magnetization ... 0.96 μB per formula unit
V ... 27.9 Å³ per atom



Tell me which of them is the least stable. Sure, it is model P.



Model P:
CdBiCl5: relaxed, PBE.

```
data_CdBiCl5
_chemical_formula_sum 'Cd4 Bi4 Cl20'
_space_group_name_H-M_alt 'P 1 21/c 1'
_space_group_IT_number 14
_cell_length_a 9.093
_cell_length_b 13.529
_cell_length_c 8.313
_cell_angle_alpha 90.00
_cell_angle_beta 103.05
_cell_angle_gamma 90.00
loop_
_space_group_symop_operation_xyz
'x,y,z'
'-x,-y,-z'
'-x,y+1/2,-z+1/2'
'x,-y+1/2,z+1/2'
loop_
_atom_site_label
_atom_site_fract_x
_atom_site_fract_y
_atom_site_fract_z
_atom_site_occupancy
Cd1 0.094 0.241 0.150 1
Bi1 0.492 0.508 0.748 1
Cl1 0.065 0.747 0.639 1
Cl2 0.207 0.070 0.179 1
Cl3 0.231 0.096 0.682 1
Cl4 0.411 0.619 0.011 1
Cl5 0.411 0.619 0.444 1
```

Results
Spin magnetization ... 0.00 μB per formula unit
V ... 35.6 Å³ per atom



Model Q:
CdBiCl5: relaxed, PBE.

```
data_CdBiCl5
_chemical_formula_sum 'Cd4 Bi4 Cl20'
_space_group_name_H-M_alt 'C 1 2/c 1'
_space_group_IT_number 15
_cell_length_a 11.397
_cell_length_b 8.740
_cell_length_c 9.429
_cell_angle_alpha 90.00
_cell_angle_beta 113.79
_cell_angle_gamma 90.00
loop_
_space_group_symop_operation_xyz
'x,y,z'
'-x,-y,-z'
'-x,y,-z+1/2'
'x,-y,z+1/2'
'x+1/2,y+1/2,z'
'-x+1/2,-y+1/2,-z'
'-x+1/2,y+1/2,-z+1/2'
'x+1/2,-y+1/2,z+1/2'
loop_
_atom_site_label
_atom_site_fract_x
_atom_site_fract_y
_atom_site_fract_z
_atom_site_occupancy
Cd1 0.000 0.000 0.000 1
Bi1 0.000 0.467 0.250 1
Cl1 0.000 0.119 0.250 1
Cl2 0.024 0.316 0.958 1
Cl3 0.245 0.051 0.646 1
```

Results
Spin magnetization ... 0.00 μB per formula unit
V ... 30.7 Å³ per atom



Tell me which of them is the least stable. Sure, it is model Q.